# 1
NdScIn (GGA-PBE, relaxed); ΔE_f = -0.347 eV per atom; M_tot = 0.000 μB/cell; distance to the lowest polymorph of the same formula = 0 meV/atom
1.0
5.2747 -0.0003 0.0000
-2.6366 4.5685 0.0000
0.0000 0.0000 6.7420
Sc Nd In
2 2 2
Cartesian
1.3186 3.8073 5.0565
1.3195 0.7609 1.6855
-1.3183 2.2842 3.3710
-1.3183 2.2842 0.0000
1.3181 0.7617 5.0565
1.3200 3.8065 1.6855

***

# 2
NdScIn (GGA-PBE, relaxed); ΔE_f = -0.084 eV per atom; M_tot = 0.001 μB/cell; distance to the lowest polymorph of the same formula = 263 meV/atom
1.0
-0.5824 -1.7290 -2.6429
4.3933 -2.7885 0.8561
-4.5831 -1.6024 2.0582
In Sc Nd
1 1 1
Cartesian
1.0126 -3.5467 -0.5065
-1.6869 -2.2826 1.2222
-0.0979 -0.2906 -0.4442

***

# 3
Nd4ScIn5 (GGA-PBE, relaxed); ΔE_f = -0.480 eV per atom; M_tot = 0.000 μB/cell
1.0
-3.0519 -1.3867 1.6674
-0.7316 -2.0515 -3.0452
10.7958 -14.8497 7.4104
Nd In Sc
4 5 1
Cartesian
8.7700 -12.0633 6.0199
2.0258 -2.7864 1.3905
6.5226 -8.9719 4.4772
4.2732 -5.8778 2.9332
-0.9976 -2.9489 -0.0752
3.5061 -9.1440 3.0163
8.0099 -15.3390 6.1077
1.2550 -6.0474 1.4710
5.7573 -12.2405 4.5615
0.0000 0.0000 0.0000

***

What did we get for V? Answer: 27.08, 25.78, 27.75 Å³/atom, in the order shown.